# 1
## Li4BeGa3O8 (GGA-PBE)

Data for Li4BeGa3O8 after structural relaxation.

Cell lengths 5.864, 5.864, 5.864 Å; angles 59.10, 59.10, 59.10 degrees
Atoms (fractional coordinates):
Li 0.000 0.000 0.000
Li 0.000 0.500 0.500
Li 0.500 0.000 0.500
Li 0.500 0.500 0.000
Be 0.500 0.500 0.500
Ga 0.000 0.000 0.500
Ga 0.000 0.500 0.000
Ga 0.500 0.000 0.000
O 0.244 0.244 0.244
O 0.250 0.735 0.735
O 0.265 0.265 0.750
O 0.265 0.750 0.265
O 0.735 0.250 0.735
O 0.735 0.735 0.250
O 0.750 0.265 0.265
O 0.756 0.756 0.756

Volume (Å³/cell): 140
Energy relative to the elements, uncorrected (eV/f.u.): -29.813



# 2
## LiBeGaOs (GGA-PBE)

Data for LiBeGaOs after structural relaxation.

Cell lengths 5.835, 5.835, 5.835 Å; angles 90.00, 90.00, 90.00 degrees
Atoms (fractional coordinates):
Li 0.000 0.000 0.000
Li 0.000 0.500 0.500
Li 0.500 0.000 0.500
Li 0.500 0.500 0.000
Be 0.250 0.250 0.750
Be 0.250 0.750 0.250
Be 0.750 0.250 0.250
Be 0.750 0.750 0.750
Ga 0.250 0.250 0.250
Ga 0.250 0.750 0.750
Ga 0.750 0.250 0.750
Ga 0.750 0.750 0.250
Os 0.000 0.000 0.500
Os 0.000 0.500 0.000
Os 0.500 0.000 0.000
Os 0.500 0.500 0.500

Energy relative to the elements (eV per atom): -0.063
Volume (Å³/cell): 199



# 3
## LiPmBeGa (GGA-PBE)

Data for LiPmBeGa after structural relaxation.

Cell lengths 6.469, 6.469, 6.469 Å; angles 90.00, 90.00, 90.00 degrees
Atoms (fractional coordinates):
Li 0.000 0.000 0.000
Li 0.000 0.500 0.500
Li 0.500 0.000 0.500
Li 0.500 0.500 0.000
Pm 0.250 0.250 0.750
Pm 0.250 0.750 0.250
Pm 0.750 0.250 0.250
Pm 0.750 0.750 0.750
Be 0.000 0.000 0.500
Be 0.000 0.500 0.000
Be 0.500 0.000 0.000
Be 0.500 0.500 0.500
Ga 0.250 0.250 0.250
Ga 0.250 0.750 0.750
Ga 0.750 0.250 0.750
Ga 0.750 0.750 0.250

Energy relative to the elements (eV per atom): -0.169
Volume (Å³/cell): 271



# 4
## Li2Be2GaPt5 (GGA-PBE)

Data for Li2Be2GaPt5 after structural relaxation.

Cell lengths 9.274, 9.274, 3.244 Å; angles 90.00, 90.00, 90.00 degrees
Atoms (fractional coordinates):
Li 0.173 0.327 0.000
Li 0.327 0.827 0.000
Li 0.673 0.173 0.000
Li 0.827 0.673 0.000
Be 0.127 0.627 0.000
Be 0.373 0.127 0.000
Be 0.627 0.873 0.000
Be 0.873 0.373 0.000
Ga 0.000 0.000 0.000
Ga 0.500 0.500 0.000
Pt 0.000 0.500 0.500
Pt 0.072 0.791 0.500
Pt 0.209 0.072 0.500
Pt 0.291 0.572 0.500
Pt 0.428 0.291 0.500
Pt 0.500 0.000 0.500
Pt 0.572 0.709 0.500
Pt 0.709 0.428 0.500
Pt 0.791 0.928 0.500
Pt 0.928 0.209 0.500

Energy relative to the elements (eV per atom): -0.678
Volume (Å³/cell): 279



# 5
## LiBeGaPt (GGA-PBE)

Data for LiBeGaPt after structural relaxation.

Cell lengths 5.894, 5.894, 5.894 Å; angles 90.00, 90.00, 90.00 degrees
Atoms (fractional coordinates):
Li 0.000 0.000 0.000
Li 0.000 0.500 0.500
Li 0.500 0.000 0.500
Li 0.500 0.500 0.000
Be 0.250 0.250 0.750
Be 0.250 0.750 0.250
Be 0.750 0.250 0.250
Be 0.750 0.750 0.750
Ga 0.250 0.250 0.250
Ga 0.250 0.750 0.750
Ga 0.750 0.250 0.750
Ga 0.750 0.750 0.250
Pt 0.000 0.000 0.500
Pt 0.000 0.500 0.000
Pt 0.500 0.000 0.000
Pt 0.500 0.500 0.500

Energy relative to the elements (eV per atom): -0.549
Volume (Å³/cell): 205



# 6
## Li2BeGaRe (GGA-PBE)

Data for Li2BeGaRe after structural relaxation.

Cell lengths 4.813, 4.813, 4.834 Å; angles 90.00, 90.00, 90.00 degrees
Atoms (fractional coordinates):
Li 0.000 0.500 0.000
Li 0.500 0.000 0.000
Be 0.000 0.000 0.500
Ga 0.500 0.500 0.500
Re 0.500 0.500 0.000

Energy relative to the elements (eV per atom): 1.456
Volume (Å³/cell): 112



# 7
## LiBeGaRh (GGA-PBE)

Data for LiBeGaRh after structural relaxation.

Cell lengths 5.816, 5.816, 5.816 Å; angles 90.00, 90.00, 90.00 degrees
Atoms (fractional coordinates):
Li 0.000 0.000 0.000
Li 0.000 0.500 0.500
Li 0.500 0.000 0.500
Li 0.500 0.500 0.000
Be 0.250 0.250 0.250
Be 0.250 0.750 0.750
Be 0.750 0.250 0.750
Be 0.750 0.750 0.250
Ga 0.250 0.250 0.750
Ga 0.250 0.750 0.250
Ga 0.750 0.250 0.250
Ga 0.750 0.750 0.750
Rh 0.000 0.000 0.500
Rh 0.000 0.500 0.000
Rh 0.500 0.000 0.000
Rh 0.500 0.500 0.500

Energy relative to the elements (eV per atom): -0.439
Volume (Å³/cell): 197



# 8
## LiBeGa2S (GGA-PBE)

Data for LiBeGa2S after structural relaxation.

Cell lengths 4.271, 4.271, 4.869 Å; angles 90.00, 90.00, 90.00 degrees
Atoms (fractional coordinates):
Li 0.000 0.000 0.000
Be 0.000 0.000 0.500
Ga 0.000 0.500 0.500
Ga 0.500 0.000 0.500
S 0.500 0.500 0.000

Volume (Å³/cell): 89
Energy relative to the elements, uncorrected (eV/f.u.): 0.381



# 9
## LiScBeGa (GGA-PBE)

Data for LiScBeGa after structural relaxation.

Cell lengths 6.082, 6.082, 6.082 Å; angles 90.00, 90.00, 90.00 degrees
Atoms (fractional coordinates):
Li 0.000 0.000 0.000
Li 0.000 0.500 0.500
Li 0.500 0.000 0.500
Li 0.500 0.500 0.000
Sc 0.250 0.250 0.250
Sc 0.250 0.750 0.750
Sc 0.750 0.250 0.750
Sc 0.750 0.750 0.250
Be 0.000 0.000 0.500
Be 0.000 0.500 0.000
Be 0.500 0.000 0.000
Be 0.500 0.500 0.500
Ga 0.250 0.250 0.750
Ga 0.250 0.750 0.250
Ga 0.750 0.250 0.250
Ga 0.750 0.750 0.750

Energy relative to the elements (eV per atom): -0.204
Volume (Å³/cell): 225



# 10
## LiSmBeGa (GGA-PBE)

Data for LiSmBeGa after structural relaxation.

Cell lengths 6.442, 6.442, 6.442 Å; angles 90.00, 90.00, 90.00 degrees
Atoms (fractional coordinates):
Li 0.000 0.000 0.000
Li 0.000 0.500 0.500
Li 0.500 0.000 0.500
Li 0.500 0.500 0.000
Sm 0.250 0.250 0.250
Sm 0.250 0.750 0.750
Sm 0.750 0.250 0.750
Sm 0.750 0.750 0.250
Be 0.000 0.000 0.500
Be 0.000 0.500 0.000
Be 0.500 0.000 0.000
Be 0.500 0.500 0.500
Ga 0.250 0.250 0.750
Ga 0.250 0.750 0.250
Ga 0.750 0.250 0.250
Ga 0.750 0.750 0.750

Energy relative to the elements (eV per atom): -0.171
Volume (Å³/cell): 267



# 11
## SrLi2BeGa (GGA-PBE)

Data for SrLi2BeGa after structural relaxation.

Cell lengths 4.861, 4.861, 4.413 Å; angles 90.00, 90.00, 90.00 degrees
Atoms (fractional coordinates):
Sr 0.000 0.000 0.000
Li 0.000 0.500 0.500
Li 0.500 0.000 0.500
Be 0.500 0.500 0.500
Ga 0.500 0.500 0.000

Energy relative to the elements (eV per atom): -0.012
Volume (Å³/cell): 104



# 12
## LiTbBeGa (GGA-PBE)

Data for LiTbBeGa after structural relaxation.

Cell lengths 6.358, 6.358, 6.358 Å; angles 90.00, 90.00, 90.00 degrees
Atoms (fractional coordinates):
Li 0.000 0.000 0.000
Li 0.000 0.500 0.500
Li 0.500 0.000 0.500
Li 0.500 0.500 0.000
Tb 0.250 0.250 0.750
Tb 0.250 0.750 0.250
Tb 0.750 0.250 0.250
Tb 0.750 0.750 0.750
Be 0.000 0.000 0.500
Be 0.000 0.500 0.000
Be 0.500 0.000 0.000
Be 0.500 0.500 0.500
Ga 0.250 0.250 0.250
Ga 0.250 0.750 0.750
Ga 0.750 0.250 0.750
Ga 0.750 0.750 0.250

Energy relative to the elements (eV per atom): -0.176
Volume (Å³/cell): 257



| no. | DOS at the Fermi energy (states/eV/cell) |
| --- | --- |
| 1 | 10.7 |
| 2 | 8.7 |
| 3 | 2.6 |
| 4 | 3.3 |
| 5 | 3.2 |
| 6 | 7.1 |
| 7 | 7.1 |
| 8 | 2.0 |
| 9 | 4.7 |
| 10 | 2.8 |
| 11 | 2.6 |
| 12 | 3.8 |